Density functional theory data (GGA-PBE) for an optimized crystal structure of ScMn3Co.

Lattice parameters (Å, degrees): 4.215 4.215 4.215 90.00 90.00 90.00
Positions (direct):
Sc 0.000 0.000 0.000
Mn 0.000 0.500 0.500
Mn 0.500 0.000 0.500
Mn 0.500 0.500 0.000
Co 0.500 0.500 0.500

Calculated values
The offset from the most stable computed form is 0.000 eV/atom. Its formation energy is 916 meV/atom. The electronic total energy comes out at -36.4 eV per cell. The magnetic moment is 0.001 μB/f.u. As for the space group: Pm-3m (221).